1.
A plane-wave DFT calculation with GGA-PBE was carried out for crystalline LaSm2Ni6Pt3 at its relaxed geometry.

Its crystal system is trigonal. The calculation puts the formation energy at -580 meV per atom.

The space group is R-3m (No. 166, hexagonal axes) and the conventional cell measures 5.1766, 5.1766 and 25.5426 Å, with angles of 90.00, 90.00 and 120.00 degrees. The inequivalent atoms are La at (0.0000, 0.0000, 0.0000), Sm at (0.0000, 0.0000, 0.1386), Ni at (0.0042, 0.5021, 0.9159), Pt at (0.0000, 0.0000, 0.3326) and Pt at (0.0000, 0.0000, 0.5000).

=====

2.
A plane-wave DFT calculation with GGA-PBE was carried out for crystalline Tb3PrSe6 at its relaxed geometry.

Its crystal system is monoclinic. The value obtained for the final energy is -5.853 eV/atom.

The space group is P2_1/m (No. 11) and the conventional cell measures 11.6403, 4.1584 and 11.9457 Å, with angles of 90.00, 109.03 and 90.00 degrees. The inequivalent atoms are Tb at (0.0619, 0.2500, 0.1669), Tb at (0.1808, 0.7500, 0.5008), Tb at (0.3408, 0.2500, 0.9144), Pr at (0.4528, 0.2500, 0.3051), Se at (0.0194, 0.2500, 0.3860), Se at (0.1059, 0.2500, 0.9406), Se at (0.2392, 0.7500, 0.2737), Se at (0.3040, 0.7500, 0.7499), Se at (0.3830, 0.2500, 0.5348) and Se at (0.4161, 0.7500, 0.0951).

=====

3.
A plane-wave DFT calculation with GGA-PBE was carried out for crystalline TcSnO3 at its relaxed geometry.

Its crystal system is tetragonal. The value obtained for the final energy is -6.964 eV/atom.

The space group is P4mm (No. 99) and the conventional cell measures 4.0342, 4.0342 and 3.9046 Å, with angles of 90.00, 90.00 and 90.00 degrees. The inequivalent atoms are Tc at (0.0000, 0.0000, 0.0000), Sn at (0.5000, 0.5000, 0.3929), O at (0.0000, 0.0000, 0.5074) and O at (0.0000, 0.5000, 0.0463).

=====

4.
A plane-wave DFT calculation with GGA-PBE was carried out for crystalline NdGdNO at its relaxed geometry.

Its crystal system is orthorhombic. Its energy above the most stable polymorph in this dataset is 35 meV per atom.

The space group is Pmma (No. 51) and the conventional cell measures 5.0632, 4.0726 and 7.0616 Å, with angles of 90.00, 90.00 and 90.00 degrees. The inequivalent atoms are Nd at (0.2500, 0.0000, 0.1654), Gd at (0.2500, 0.5000, 0.6681), N at (0.2500, 0.0000, 0.8266) and O at (0.2500, 0.5000, 0.3411).

=====

5.
A plane-wave DFT calculation with GGA-PBE was carried out for crystalline La2Er at its relaxed geometry.

Its crystal system is cubic. The calculation puts the formation energy at 1975 meV per atom. Its energy above the most stable polymorph in this dataset is 1726 meV per atom.

The space group is Fd-3m (No. 227, origin choice 2) and the conventional cell measures 13.1469, 13.1469 and 13.1469 Å, with angles of 90.00, 90.00 and 90.00 degrees. The inequivalent atoms are La at (0.0000, 0.0000, 0.0000) and Er at (0.1250, 0.1250, 0.1250).

=====

6.
A plane-wave DFT calculation with GGA-PBE was carried out for crystalline Li4MgAlPd2 at its relaxed geometry.

Its crystal system is tetragonal. The value obtained for the final energy is -3.376 eV/atom.

The space group is P-4m2 (No. 115) and the conventional cell measures 4.3660, 4.3660 and 6.1678 Å, with angles of 90.00, 90.00 and 90.00 degrees. The inequivalent atoms are Li at (0.0000, 0.0000, 0.0000), Li at (0.0000, 0.5000, 0.7456), Li at (0.5000, 0.5000, 0.5000), Mg at (0.5000, 0.5000, 0.0000), Al at (0.0000, 0.0000, 0.5000) and Pd at (0.0000, 0.5000, 0.2701).

=====

7.
A plane-wave DFT calculation with GGA-PBE was carried out for crystalline Li2LaYIn2Ag2 at its relaxed geometry.

Its crystal system is tetragonal. The value obtained for the final energy is -3.681 eV/atom.

The space group is P-4m2 (No. 115) and the conventional cell measures 4.9683, 4.9683 and 7.0167 Å, with angles of 90.00, 90.00 and 90.00 degrees. The inequivalent atoms are Li at (0.0000, 0.5000, 0.2458), La at (0.0000, 0.0000, 0.5000), Y at (0.5000, 0.5000, 0.0000), In at (0.0000, 0.0000, 0.0000), In at (0.5000, 0.5000, 0.5000) and Ag at (0.0000, 0.5000, 0.7611).

=====

8.
A plane-wave DFT calculation with GGA-PBE was carried out for crystalline PrMgAg at its relaxed geometry.

Its crystal system is cubic. The value obtained for the final energy is -2.700 eV/atom.

The space group is F-43m (No. 216) and the conventional cell measures 7.1600, 7.1600 and 7.1600 Å, with angles of 90.00, 90.00 and 90.00 degrees. The inequivalent atoms are Pr at (0.0000, 0.0000, 0.0000), Mg at (0.2500, 0.2500, 0.2500) and Ag at (0.2500, 0.2500, 0.7500).